{"formula": "PmY6Tm3Th2", "functional": "GGA-PBE", "state": "optimized geometry", "lattice": [[3.0933, -5.3512, 0.0000], [3.0933, 5.3512, 0.0000], [-2.0634, 0.0000, 11.5834]], "species": ["Pm", "Y", "Y", "Y", "Y", "Y", "Y", "Tm", "Tm", "Tm", "Th", "Th"], "frac_coords": [[0.0000, 0.0000, 0.0000], [0.0842, 0.4216, 0.2499], [0.2533, 0.2533, 0.7500], [0.4216, 0.0842, 0.2499], [0.5784, 0.9158, 0.7501], [0.7467, 0.7467, 0.2500], [0.9158, 0.5784, 0.7501], [0.1665, 0.8335, 0.5000], [0.5000, 0.5000, 0.5000], [0.8335, 0.1665, 0.5000], [0.3332, 0.6667, 0.0000], [0.6667, 0.3332, 0.0000]], "dft_energy_ev_per_cell": -71.3, "m_tot_mub_per_atom": 0.00, "formation_enthalpy_0k_ev_per_atom": 0.037}